The following is a PBE-GGA calculation of a relaxed PmY3Tm4 crystal, from Alexandria.

a = 23.4724 Å, b = 3.4437 Å, c = 6.6399 Å
α = 90.00°, β = 106.37°, γ = 90.00°
With the nearest neighbours (Å) after each atom.
Fractional positions:
Pm: 0.0000 0.0000 0.0000  2 Pm 3.44, 4 Tm 3.69, 8 Y 3.73-3.74
Pm: 0.5000 0.5000 0.0000  2 Pm 3.44, 4 Tm 3.69, 8 Y 3.73-3.74
Y: 0.0000 0.5000 0.5000  2 Tm 3.32, 4 Y 3.33-3.44
Y: 0.1275 0.5000 0.3739  5 Tm 3.25-3.49, 3 Y 3.33-3.44
Y: 0.3725 0.0000 0.6261  5 Tm 3.25-3.49, 3 Y 3.33-3.44
Y: 0.5000 0.0000 0.5000  2 Tm 3.32, 4 Y 3.33-3.44
Y: 0.6275 0.0000 0.3739  5 Tm 3.25-3.49, 3 Y 3.33-3.44
Y: 0.8725 0.5000 0.6261  5 Tm 3.25-3.49, 3 Y 3.33-3.44
Tm: 0.1261 0.5000 0.8836  3 Y 3.25-3.39, 5 Tm 3.44-3.46
Tm: 0.2396 0.0000 0.2330  9 Tm 3.44-3.85, 3 Y 3.46-3.49
Tm: 0.2604 0.5000 0.7670  9 Tm 3.44-3.85, 3 Y 3.46-3.49
Tm: 0.3739 0.0000 0.1164  3 Y 3.25-3.39, 5 Tm 3.44-3.46
Tm: 0.6261 0.0000 0.8836  3 Y 3.25-3.39, 5 Tm 3.44-3.46
Tm: 0.7396 0.5000 0.2330  9 Tm 3.44-3.85, 3 Y 3.46-3.49
Tm: 0.7604 0.0000 0.7670  9 Tm 3.44-3.85, 3 Y 3.46-3.49
Tm: 0.8739 0.5000 0.1164  3 Y 3.25-3.39, 5 Tm 3.44-3.46

Calculated values
Calculated total energy   -5.076 eV/atom
DOS(E_F)   1.7725 states/eV per atom
ΔE to the lowest computed polymorph   173 meV/atom
Crystal system   monoclinic
Formation energy   177 meV per atom